NaNiP2 at its PBEsol-relaxed geometry. Source: the Alexandria database, functional SCAN.

Calculated values
Offset from the most stable computed form   0.0 meV per atom
Space-group type   I4_1/amd, No. 141
Formation energy   -0.164 eV per atom
Density of states at the Fermi level   4.0 states/eV/cell

Unit cell a=4.5879 b=4.5879 c=8.0472 alpha=106.56 beta=106.56 gamma=90.00
Fractional positions:
Ni  0.0000  0.0000  0.0000
P  0.1250  0.8750  0.2500
P  0.1250  0.3750  0.2500
Na  0.5000  0.5000  0.0000
Na  0.7500  0.2500  0.5000
Ni  0.2500  0.7500  0.5000
P  0.6250  0.8750  0.7500
P  0.1250  0.8750  0.7500

=====

KTa3Nb at its PBEsol-relaxed geometry. Source: the Alexandria database, functional SCAN.

Calculated values
Offset from the most stable computed form   0.0 meV per atom
Space-group type   Pm-3m, No. 221
Formation energy   1.805 eV per atom
Density of states at the Fermi level   6.1 states/eV/cell

Unit cell a=4.9838 b=4.9838 c=4.9838 alpha=90.00 beta=90.00 gamma=90.00
Fractional positions:
Ta  0.0000  0.5000  0.0000
Nb  0.0000  0.0000  0.0000
Ta  0.5000  0.0000  0.0000
Ta  0.0000  0.0000  0.5000
K  0.5000  0.5000  0.5000

=====

TiFeTeN2 at its PBEsol-relaxed geometry. Source: the Alexandria database, functional SCAN.

Calculated values
Space-group type   P4/mmm, No. 123
Raw formation energy   0.433 eV per atom
Density of states at the Fermi level   2.6 states/eV/cell

Unit cell a=3.8324 b=3.8324 c=5.6686 alpha=90.00 beta=90.00 gamma=90.00
Fractional positions:
Te  0.0000  0.0000  0.5000
N  0.0000  0.5000  0.0000
Fe  0.5000  0.5000  0.5000
Ti  0.0000  0.0000  0.0000
N  0.5000  0.0000  0.0000